Entry 1:
Here is a relaxed TePt2O crystal from Alexandria via LeMat-Bulk. Energies are from PBE. Values from VASP.

```
&SYSTEM
  ibrav = 0, nat = 4, ntyp = 3
/
ATOMIC_SPECIES
Te 127.60 Te.upf
O 16.00 O.upf
Pt 195.08 Pt.upf
CELL_PARAMETERS angstrom
0.200 -4.318 1.119
-2.181 -3.041 -2.435
2.279 -2.865 -2.556
ATOMIC_POSITIONS crystal
Te 0.500 0.500 0.500
O 0.000 0.000 0.000
Pt 0.250 0.250 0.250
Pt 0.750 0.750 0.750
```

Values from the calculation:
For the total energy, the calculation gives -4.78 eV per atom. The formation energy from raw total energies is 0.2702 eV per atom. The symmetry is Fm-3m (225). The value obtained for the energy above the most stable polymorph in this dataset is 0.1289 eV per atom.

---

Entry 2:
Here is a relaxed NaTiH2Ir crystal from Alexandria via LeMat-Bulk. Energies are from PBE. Values from VASP.

```
&SYSTEM
  ibrav = 0, nat = 5, ntyp = 4
/
ATOMIC_SPECIES
Na 22.99 Na.upf
Ir 192.22 Ir.upf
H 1.01 H.upf
Ti 47.87 Ti.upf
CELL_PARAMETERS angstrom
3.597 0.000 0.000
0.000 6.211 0.000
0.000 0.000 3.597
ATOMIC_POSITIONS crystal
Na 0.000 0.000 0.000
Ir 0.500 0.500 0.500
H 0.000 0.000 0.500
H 0.500 0.000 0.000
Ti 0.000 0.500 0.000
```

Values from the calculation:
For the total energy, the calculation gives -3.96 eV per atom. The symmetry is P4/mmm (123).

---

Entry 3:
Here is a relaxed AcTlAgSe3 crystal from Alexandria via LeMat-Bulk. Energies are from PBE. Values from VASP.

```
&SYSTEM
  ibrav = 0, nat = 12, ntyp = 4
/
ATOMIC_SPECIES
Ac 227.00 Ac.upf
Tl 204.38 Tl.upf
Ag 107.87 Ag.upf
Se 78.96 Se.upf
CELL_PARAMETERS angstrom
4.546 0.000 0.000
-2.273 6.446 0.000
0.000 0.000 12.195
ATOMIC_POSITIONS crystal
Ac 0.000 0.000 0.500
Ac 0.000 0.000 0.000
Tl 0.261 0.522 0.250
Tl 0.739 0.478 0.750
Ag 0.436 0.872 0.750
Ag 0.564 0.128 0.250
Se 0.655 0.309 0.058
Se 0.345 0.691 0.942
Se 0.345 0.691 0.558
Se 0.655 0.309 0.442
Se 0.056 0.112 0.750
Se 0.944 0.888 0.250
```

Values from the calculation:
For the total energy, the calculation gives -4.19 eV per atom. The formation energy from raw total energies is -0.8892 eV per atom. The symmetry is Cmcm (63).

---

Entry 4:
Here is a relaxed SiMoCl2 crystal from Alexandria via LeMat-Bulk. Energies are from PBE. Values from VASP.

```
&SYSTEM
  ibrav = 0, nat = 4, ntyp = 3
/
ATOMIC_SPECIES
Cl 35.45 Cl.upf
Mo 95.94 Mo.upf
Si 28.09 Si.upf
CELL_PARAMETERS angstrom
-8.835 2.802 -6.411
-9.769 0.017 -5.619
-10.339 2.387 -3.798
ATOMIC_POSITIONS crystal
Cl 0.969 0.969 0.969
Cl 0.531 0.531 0.531
Mo 0.250 0.250 0.250
Si 0.750 0.750 0.750
```

Values from the calculation:
For the total energy, the calculation gives -4.87 eV per atom. The formation energy from raw total energies is 0.1194 eV per atom. The symmetry is R-3m (166). The value obtained for the energy above the most stable polymorph in this dataset is 0.4577 eV per atom.